# 1
YGe2BRu2: relaxed, GGA-PBE.

Calculated values
ΔE_f in meV per atom: -524
Spin magnetization in Bohr magnetons per cell: 0.000

Cell lengths 4.1634, 4.1634, 5.4851 Å; angles 90.00, 90.00, 90.00 degrees
Fractional coordinates of all 6 atoms:
Y 0.0000 0.0000 0.5000
Ge 0.5000 0.5000 0.7214
Ge 0.5000 0.5000 0.2786
B 0.0000 0.0000 0.0000
Ru 0.5000 0.0000 0.0000
Ru 0.0000 0.5000 0.0000

---

# 2
BeGaTc2: relaxed, GGA-PBE.

Calculated values
Offset from the most stable computed form in kJ per mole of atoms: 0.0
ΔE_f in meV per atom: 66
Spin magnetization in Bohr magnetons per cell: 0.000

Cell lengths 4.1897, 4.1897, 4.1897 Å; angles 60.00, 60.00, 60.00 degrees
Fractional coordinates of all 4 atoms:
Be 0.0000 0.0000 0.0000
Tc 0.2500 0.2500 0.2500
Tc 0.7500 0.7500 0.7500
Ga 0.5000 0.5000 0.5000

---

# 3
CdCuAg4: relaxed, GGA-PBE.

Calculated values
ΔE_f in meV per atom: 246
Spin magnetization in Bohr magnetons per cell: 0.000

Cell lengths 5.4779, 5.4779, 5.4779 Å; angles 60.00, 60.00, 60.00 degrees
Fractional coordinates of all 6 atoms:
Cd 0.7500 0.7500 0.7500
Cu 0.0000 0.0000 0.0000
Ag 0.8755 0.3748 0.3748
Ag 0.3748 0.3748 0.8755
Ag 0.3748 0.8755 0.3748
Ag 0.3748 0.3748 0.3748

---

# 4
TlPb3Se4: relaxed, GGA-PBE.

Calculated values
Raw formation energy in eV per atom: -0.476
Offset from the most stable computed form in kJ per mole of atoms: 0.0
Spin magnetization in Bohr magnetons per cell: 0.000

Cell lengths 4.3605, 7.5870, 7.5870 Å; angles 109.51, 90.00, 90.00 degrees
Fractional coordinates of all 8 atoms:
Pb 0.0000 0.0000 0.5000
Pb 0.5000 0.5000 0.5000
Pb 0.0000 0.5000 0.0000
Tl 0.5000 0.0000 0.0000
Se 0.0000 0.2549 0.2549
Se 0.5000 0.7473 0.2527
Se 0.0000 0.7451 0.7451
Se 0.5000 0.2527 0.7473

---

# 5
TbLu2Bi: relaxed, GGA-PBE.

Calculated values
Offset from the most stable computed form in kJ per mole of atoms: 33.7
ΔE_f in meV per atom: 53
Spin magnetization in Bohr magnetons per cell: 0.001

Cell lengths 3.5083, 3.5083, 11.9858 Å; angles 81.58, 81.58, 60.00 degrees
Fractional coordinates of all 4 atoms:
Lu 0.0878 0.0878 0.7365
Lu 0.9122 0.9122 0.2635
Tb 0.5000 0.5000 0.5000
Bi 0.0000 0.0000 0.0000

---

# 6
La2TaNiW: relaxed, GGA-PBE.

Calculated values
ΔE_f in meV per atom: 1362
Spin magnetization in Bohr magnetons per cell: 0.809

Cell lengths 5.6691, 4.7440, 5.6691 Å; angles 90.00, 90.00, 90.00 degrees
Each line ends with the local moment (μB).
Fractional coordinates of all 5 atoms:
Ni 0.5000 0.5000 0.5000  0.17
La 0.0000 0.0000 0.5000  0.00
La 0.5000 0.0000 0.0000  -0.02
W 0.0000 0.5000 0.0000  0.58
Ta 0.0000 0.0000 0.0000  -0.09